# 1
! MgZr5Pt6, optimized geometry, DFT PBE; values from VASP
&SYSTEM
  ibrav = 0, nat = 12, ntyp = 3
/
ATOMIC_SPECIES
Zr 91.22 Zr.upf
Pt 195.08 Pt.upf
Mg 24.30 Mg.upf
ATOMIC_POSITIONS crystal
Zr 0.6358 0.6512 0.6977
Pt 0.5000 0.7768 0.0000
Pt 0.8330 0.0617 0.3382
Pt 0.5000 0.2232 0.0000
Zr 0.3213 0.8240 0.3519
Zr 0.3642 0.3488 0.3023
Zr 0.0000 0.5000 0.0000
Zr 0.6787 0.1760 0.6481
Mg 0.0000 0.0000 0.0000
Pt 0.1670 0.4000 0.6618
Pt 0.1670 0.9383 0.6618
Pt 0.8330 0.6000 0.3382
CELL_PARAMETERS angstrom
4.4127 -0.5248 1.0829
0.1484 6.6725 2.6269
1.4041 0.6373 8.0968
! **Formation energy**: -0.9432 eV per atom
! **Crystal system**: monoclinic
! **SG**: C2/m
! **Spin magnetization**: 0.00 μB per formula unit


# 2
! MgZr2Pt, optimized geometry, DFT PBE; values from VASP
&SYSTEM
  ibrav = 0, nat = 4, ntyp = 3
/
ATOMIC_SPECIES
Zr 91.22 Zr.upf
Mg 24.30 Mg.upf
Pt 195.08 Pt.upf
ATOMIC_POSITIONS crystal
Zr 0.0000 0.9591 0.9492
Mg 0.0000 0.6817 0.4887
Pt 0.5000 0.5779 0.7746
Zr 0.5000 0.2813 0.2874
CELL_PARAMETERS angstrom
4.4359 0.0000 0.0000
0.0000 3.2760 0.0123
0.0000 1.5887 5.5623
! **Formation energy**: -0.3896 eV per atom
! **Crystal system**: monoclinic
! **SG**: Pm
! **Spin magnetization**: 0.00 μB per formula unit


# 3
! Mg2ZrPt5, optimized geometry, DFT PBE; values from VASP
&SYSTEM
  ibrav = 0, nat = 8, ntyp = 3
/
ATOMIC_SPECIES
Mg 24.30 Mg.upf
Pt 195.08 Pt.upf
Zr 91.22 Zr.upf
ATOMIC_POSITIONS crystal
Mg 0.2514 0.2514 0.5029
Pt 0.8702 0.3702 0.7405
Mg 0.7486 0.7486 0.4971
Pt 0.6298 0.1298 0.2595
Pt 0.5000 0.5000 0.0000
Pt 0.1298 0.6298 0.2595
Pt 0.3702 0.8702 0.7405
Zr 0.0000 0.0000 0.0000
CELL_PARAMETERS angstrom
-0.4774 -3.5217 2.0303
4.0412 -0.1903 0.6201
-2.6147 5.7943 5.3104
! **Formation energy**: -0.9173 eV per atom
! **Crystal system**: tetragonal
! **SG**: I4/mmm
! **Spin magnetization**: 0.00 μB per formula unit


# 4
! MgZr2Pt, optimized geometry, DFT PBE; values from VASP
&SYSTEM
  ibrav = 0, nat = 8, ntyp = 3
/
ATOMIC_SPECIES
Zr 91.22 Zr.upf
Mg 24.30 Mg.upf
Pt 195.08 Pt.upf
ATOMIC_POSITIONS crystal
Zr 0.3750 0.3236 0.7500
Zr 0.6764 0.1250 0.2500
Mg 0.2500 0.7500 0.5000
Pt 0.7500 0.2500 0.5000
Mg 0.5000 0.5000 0.0000
Pt 0.0000 0.0000 0.0000
Zr 0.0736 0.6250 0.2500
Zr 0.8750 0.9264 0.7500
CELL_PARAMETERS angstrom
-6.2295 0.3033 4.9528
2.2245 -6.9351 3.2226
-0.4238 -1.9263 5.9883
! **Formation energy**: -0.2153 eV per atom
! **Crystal system**: tetragonal
! **SG**: I-42d
! **Spin magnetization**: 0.00 μB per formula unit


# 5
! MgZr2Pt, optimized geometry, DFT PBE; values from VASP
&SYSTEM
  ibrav = 0, nat = 4, ntyp = 3
/
ATOMIC_SPECIES
Pt 195.08 Pt.upf
Mg 24.30 Mg.upf
Zr 91.22 Zr.upf
ATOMIC_POSITIONS crystal
Pt 0.0000 0.5000 0.5000
Mg 0.5000 0.0000 0.5000
Zr 0.5000 0.5000 0.0000
Zr 0.0000 0.0000 0.0000
CELL_PARAMETERS angstrom
4.2442 0.0000 0.0000
0.0000 4.2471 0.0000
0.0000 0.0000 4.3126
! **Formation energy**: -0.4609 eV per atom
! **Crystal system**: tetragonal
! **SG**: P4/mmm
! **Spin magnetization**: 0.00 μB per formula unit


# 6
! Mg2ZrPt3, optimized geometry, DFT PBE; values from VASP
&SYSTEM
  ibrav = 0, nat = 6, ntyp = 3
/
ATOMIC_SPECIES
Zr 91.22 Zr.upf
Pt 195.08 Pt.upf
Mg 24.30 Mg.upf
ATOMIC_POSITIONS crystal
Zr 0.5000 0.5000 0.5000
Pt 0.0000 0.0000 0.0000
Mg 0.5000 0.5000 0.1562
Pt 0.0000 0.0000 0.3235
Pt 0.0000 0.0000 0.6765
Mg 0.5000 0.5000 0.8438
CELL_PARAMETERS angstrom
3.2037 0.0000 0.0000
0.0000 3.2037 0.0000
0.0000 0.0000 9.9614
! **Energy above the most stable polymorph in this dataset**: 18 meV per atom
! **Formation energy**: -0.9056 eV per atom
! **Crystal system**: tetragonal
! **SG**: P4/mmm
! **Spin magnetization**: 0.00 μB per formula unit


# 7
! Mg3ZrPt2, optimized geometry, DFT PBE; values from VASP
&SYSTEM
  ibrav = 0, nat = 12, ntyp = 3
/
ATOMIC_SPECIES
Pt 195.08 Pt.upf
Zr 91.22 Zr.upf
Mg 24.30 Mg.upf
ATOMIC_POSITIONS crystal
Pt 0.0000 0.2562 0.6065
Zr 0.5000 0.5343 0.5795
Mg 0.0000 0.9622 0.0841
Mg 0.0000 0.4622 0.9159
Zr 0.5000 0.0343 0.4205
Mg 0.0000 0.3616 0.2947
Mg 0.0000 0.8616 0.7053
Mg 0.5000 0.6465 0.1892
Mg 0.5000 0.1465 0.8108
Pt 0.5000 0.7392 0.8712
Pt 0.5000 0.2392 0.1288
Pt 0.0000 0.7562 0.3935
CELL_PARAMETERS angstrom
4.2587 0.0000 0.0000
0.0000 6.5346 0.0000
0.0000 0.0000 8.1856
! **Formation energy**: -0.7383 eV per atom
! **Crystal system**: orthorhombic
! **SG**: Pmc2_1
! **Spin magnetization**: 0.00 μB per formula unit


# 8
! MgZr2Pt, optimized geometry, DFT PBE; values from VASP
&SYSTEM
  ibrav = 0, nat = 4, ntyp = 3
/
ATOMIC_SPECIES
Pt 195.08 Pt.upf
Mg 24.30 Mg.upf
Zr 91.22 Zr.upf
ATOMIC_POSITIONS crystal
Pt 0.0000 0.5000 0.5000
Mg 0.5000 0.0000 0.5000
Zr 0.5000 0.5000 0.0000
Zr 0.0000 0.0000 0.0000
CELL_PARAMETERS angstrom
-0.8069 5.1867 -0.1634
-0.5284 -2.1472 -4.7634
-2.9606 -0.4454 0.5308
! **Formation energy**: -0.3699 eV per atom
! **Crystal system**: orthorhombic
! **SG**: Cmmm
! **Spin magnetization**: 0.00 μB per formula unit


Number 5 is which compound?
MgZr2Pt


Repeat the fourth record exactly.
! MgZr2Pt, optimized geometry, DFT PBE; values from VASP
&SYSTEM
  ibrav = 0, nat = 8, ntyp = 3
/
ATOMIC_SPECIES
Zr 91.22 Zr.upf
Mg 24.30 Mg.upf
Pt 195.08 Pt.upf
ATOMIC_POSITIONS crystal
Zr 0.3750 0.3236 0.7500
Zr 0.6764 0.1250 0.2500
Mg 0.2500 0.7500 0.5000
Pt 0.7500 0.2500 0.5000
Mg 0.5000 0.5000 0.0000
Pt 0.0000 0.0000 0.0000
Zr 0.0736 0.6250 0.2500
Zr 0.8750 0.9264 0.7500
CELL_PARAMETERS angstrom
-6.2295 0.3033 4.9528
2.2245 -6.9351 3.2226
-0.4238 -1.9263 5.9883
! **Formation energy**: -0.2153 eV per atom
! **Crystal system**: tetragonal
! **SG**: I-42d
! **Spin magnetization**: 0.00 μB per formula unit